Record 1
Computed, not measured: crystalline CsSrSiHRh at its relaxed geometry at the PBE-GGA level of DFT.

a b c (Å): 5.0887 4.0186 14.0881
angles (deg): 90.00 108.83 90.00
Element x y z (fractional)
Cs (0.2796, 0.0000, 0.5839)
Cs (0.2796, 0.5000, 0.0839)
Sr (0.9799, 0.0000, 0.8090)
Sr (0.9799, 0.5000, 0.3090)
Si (0.4987, 0.0000, 0.3433)
Si (0.4987, 0.5000, 0.8433)
H (0.6574, 0.0000, 0.2570)
H (0.6574, 0.5000, 0.7570)
Rh (0.6158, 0.0000, 0.9313)
Rh (0.6158, 0.5000, 0.4313)

Output
Crystal system ... monoclinic
Space group ... Cm
Energy relative to the lowest polymorph listed for this composition ... 71.3 meV per atom
Uncorrected energy ... -39.3 eV per cell



Record 2
Computed, not measured: crystalline PrMgAg at its relaxed geometry at the PBE-GGA level of DFT.

a b c (Å): 3.5076 3.5076 6.5921
angles (deg): 105.43 105.43 90.00
Element x y z (fractional)
Pr (0.9413, 0.9413, 0.8826)
Mg (0.6449, 0.6449, 0.2899)
Ag (0.2638, 0.2638, 0.5275)

Output
Crystal system ... tetragonal
Space group ... I4mm
Uncorrected energy ... -9.7 eV per cell



Record 3
Computed, not measured: crystalline Si2Ag at its relaxed geometry at the PBE-GGA level of DFT.

a b c (Å): 3.7793 4.6846 6.3089
angles (deg): 90.00 90.00 90.00
Element x y z (fractional)
Si (0.7605, 0.0000, 0.3811)
Si (0.2395, 0.0000, 0.6189)
Si (0.2605, 0.5000, 0.1189)
Si (0.7395, 0.5000, 0.8811)
Ag (0.0000, 0.0000, 0.0000)
Ag (0.5000, 0.5000, 0.5000)

Output
Crystal system ... orthorhombic
Space group ... Pnnm
Energy relative to the lowest polymorph listed for this composition ... 141.5 meV per atom
Raw formation energy ... 456 meV per atom
Uncorrected energy ... -24.7 eV per cell



Record 4
Computed, not measured: crystalline Ce2PmPb2 at its relaxed geometry at the PBE-GGA level of DFT.

a b c (Å): 4.0206 8.6962 8.6962
angles (deg): 90.00 90.00 90.00
Last column: magnetic moment on the atom in μB.
Element x y z (fractional)
Ce (0.0000, 0.3916, 0.8916)  0.63
Ce (0.0000, 0.8916, 0.6084)  0.63
Ce (0.0000, 0.6084, 0.1084)  0.63
Ce (0.0000, 0.1084, 0.3916)  0.63
Pm (0.0000, 0.0000, 0.0000)  0.11
Pm (0.0000, 0.5000, 0.5000)  0.11
Pb (0.5000, 0.1864, 0.6864)  -0.01
Pb (0.5000, 0.6864, 0.8136)  -0.01
Pb (0.5000, 0.8136, 0.3136)  -0.01
Pb (0.5000, 0.3136, 0.1864)  -0.01

Output
Crystal system ... tetragonal
Space group ... P4/mbm
Energy relative to the lowest polymorph listed for this composition ... 0.0 meV per atom
Uncorrected energy ... -50.8 eV per cell



Record 5
Computed, not measured: crystalline Cs3BiOs at its relaxed geometry at the PBE-GGA level of DFT.

a b c (Å): 6.0494 6.0494 6.0494
angles (deg): 90.00 90.00 90.00
Last column: magnetic moment on the atom in μB.
Element x y z (fractional)
Cs (0.0000, 0.5000, 0.0000)  0.01
Cs (0.0000, 0.0000, 0.5000)  0.01
Cs (0.5000, 0.0000, 0.0000)  0.01
Os (0.0000, 0.0000, 0.0000)  -0.07
Bi (0.5000, 0.5000, 0.5000)  0.84

Output
Crystal system ... cubic
Space group ... Pm-3m
Uncorrected energy ... -12.1 eV per cell



Record 6
Computed, not measured: crystalline GdCdBiRh at its relaxed geometry at the PBE-GGA level of DFT.

a b c (Å): 5.0487 5.0487 5.0487
angles (deg): 60.00 60.00 60.00
Last column: magnetic moment on the atom in μB.
Element x y z (fractional)
Gd (0.5000, 0.5000, 0.5000)  7.02
Rh (0.2500, 0.2500, 0.2500)  -0.07
Bi (0.0000, 0.0000, 0.0000)  -0.01
Cd (0.7500, 0.7500, 0.7500)  0.01

Output
Crystal system ... cubic
Space group ... F-43m
Uncorrected energy ... -27.5 eV per cell



Record 7
Computed, not measured: crystalline Th2PaAu at its relaxed geometry at the PBE-GGA level of DFT.

a b c (Å): 5.3223 5.3223 5.3223
angles (deg): 60.00 60.00 60.00
Element x y z (fractional)
Pa (0.0000, 0.0000, 0.0000)
Au (0.5000, 0.5000, 0.5000)
Th (0.2500, 0.2500, 0.2500)
Th (0.7500, 0.7500, 0.7500)

Output
Crystal system ... cubic
Space group ... Fm-3m
Energy relative to the lowest polymorph listed for this composition ... 242.1 meV per atom
Uncorrected energy ... -27.5 eV per cell



Record 8
Computed, not measured: crystalline LaP2Ir at its relaxed geometry at the PBE-GGA level of DFT.

a b c (Å): 4.6928 4.6928 4.6928
angles (deg): 60.00 60.00 60.00
Element x y z (fractional)
P (0.2500, 0.2500, 0.2500)
P (0.7500, 0.7500, 0.7500)
Ir (0.5000, 0.5000, 0.5000)
La (0.0000, 0.0000, 0.0000)

Output
Crystal system ... cubic
Space group ... Fm-3m
Uncorrected energy ... -25.8 eV per cell



Record 9
Computed, not measured: crystalline NpSi3Ni5 at its relaxed geometry at the PBE-GGA level of DFT.

a b c (Å): 3.6321 6.1581 11.5160
angles (deg): 90.00 90.00 107.15
Last column: magnetic moment on the atom in μB.
Element x y z (fractional)
Np (0.8434, 0.6868, 0.7500)  3.80
Np (0.1566, 0.3132, 0.2500)  3.80
Si (0.3833, 0.7666, 0.9558)  -0.01
Si (0.8817, 0.7634, 0.2500)  -0.01
Si (0.3833, 0.7666, 0.5442)  -0.01
Si (0.6167, 0.2334, 0.4558)  -0.01
Si (0.1183, 0.2366, 0.7500)  -0.01
Si (0.6167, 0.2334, 0.0442)  -0.01
Ni (0.8032, 0.6065, 0.4352)  0.07
Ni (0.1968, 0.3935, 0.9352)  0.07
Ni (0.0000, 0.0000, 0.5000)  0.06
Ni (0.0000, 0.0000, 0.0000)  0.06
Ni (0.4456, 0.8912, 0.1447)  0.02
Ni (0.5544, 0.1088, 0.8553)  0.02
Ni (0.5544, 0.1088, 0.6447)  0.02
Ni (0.8032, 0.6065, 0.0648)  0.07
Ni (0.1968, 0.3935, 0.5648)  0.07
Ni (0.4456, 0.8912, 0.3553)  0.02

Output
Crystal system ... orthorhombic
Space group ... Cmcm
Raw formation energy ... -507 meV per atom
Uncorrected energy ... -125.4 eV per cell



Record 10
Computed, not measured: crystalline Cs2Ta3Cl9 at its relaxed geometry at the PBE-GGA level of DFT.

a b c (Å): 10.2960 10.4685 10.4685
angles (deg): 116.86 103.87 103.87
Element x y z (fractional)
Cs (0.1819, 0.5461, 0.2311)
Cs (0.8181, 0.7689, 0.4539)
Cs (0.8181, 0.4539, 0.7689)
Cs (0.1819, 0.2311, 0.5461)
Ta (0.3811, 0.1084, 0.1084)
Ta (0.6189, 0.8916, 0.8916)
Ta (0.6352, 0.0463, 0.2092)
Ta (0.3648, 0.7908, 0.9537)
Ta (0.3648, 0.9537, 0.7908)
Ta (0.6352, 0.2092, 0.0463)
Cl (0.5000, 0.1947, 0.8053)
Cl (0.1903, 0.5230, 0.8930)
Cl (0.1903, 0.8930, 0.5230)
Cl (0.8097, 0.4770, 0.1070)
Cl (0.7663, 0.7540, 0.7540)
Cl (0.2337, 0.2460, 0.2460)
Cl (0.5190, 0.3789, 0.1829)
Cl (0.4810, 0.8171, 0.6211)
Cl (0.4810, 0.6211, 0.8171)
Cl (0.5190, 0.1829, 0.3789)
Cl (0.1784, 0.6935, 0.6935)
Cl (0.8018, 0.9262, 0.1206)
Cl (0.8018, 0.1206, 0.9262)
Cl (0.1982, 0.0738, 0.8794)
Cl (0.1982, 0.8794, 0.0738)
Cl (0.5000, 0.8053, 0.1947)
Cl (0.8216, 0.3065, 0.3065)
Cl (0.8097, 0.1070, 0.4770)

Output
Crystal system ... monoclinic
Space group ... C2/m
Raw formation energy ... -1510 meV per atom
Uncorrected energy ... -150.1 eV per cell



Record 11
Computed, not measured: crystalline Li2CuRh2 at its relaxed geometry at the PBE-GGA level of DFT.

a b c (Å): 5.6400 5.6400 3.8153
angles (deg): 90.00 90.00 90.00
Element x y z (fractional)
Rh (0.1832, 0.6832, 0.5000)
Rh (0.6832, 0.8168, 0.5000)
Rh (0.8168, 0.3168, 0.5000)
Rh (0.3168, 0.1832, 0.5000)
Cu (0.0000, 0.0000, 0.0000)
Cu (0.5000, 0.5000, 0.0000)
Li (0.3730, 0.8730, 0.0000)
Li (0.8730, 0.6270, 0.0000)
Li (0.6270, 0.1270, 0.0000)
Li (0.1270, 0.3730, 0.0000)

Output
Crystal system ... tetragonal
Space group ... P4/mbm
Energy relative to the lowest polymorph listed for this composition ... 0.0 meV per atom
Uncorrected energy ... -44.3 eV per cell



Record 12
Computed, not measured: crystalline KCa2TcO5 at its relaxed geometry at the PBE-GGA level of DFT.

a b c (Å): 3.8528 5.9756 6.5807
angles (deg): 117.00 107.02 90.00
Last column: magnetic moment on the atom in μB.
Element x y z (fractional)
K (0.0000, 0.5000, 0.0000)  0.00
Ca (0.2209, 0.2209, 0.4418)  0.01
Ca (0.7791, 0.7791, 0.5582)  0.01
Tc (0.5000, 0.0000, 0.0000)  1.23
O (0.6352, 0.9125, 0.2703)  0.08
O (0.3648, 0.0875, 0.7297)  0.08
O (0.3648, 0.6422, 0.7297)  0.08
O (0.6352, 0.3578, 0.2703)  0.08
O (0.0000, 0.0000, 0.0000)  -0.01

Output
Crystal system ... orthorhombic
Space group ... Immm
Raw formation energy ... -2171 meV per atom
Uncorrected energy ... -59.8 eV per cell



Record 13
Computed, not measured: crystalline SrTcCl2 at its relaxed geometry at the PBE-GGA level of DFT.

a b c (Å): 3.9832 4.8500 4.8798
angles (deg): 85.90 90.00 90.00
Last column: magnetic moment on the atom in μB.
Element x y z (fractional)
Sr (0.5000, 0.2500, 0.2500)  -0.02
Tc (0.5000, 0.7500, 0.7500)  0.87
Cl (0.0000, 0.9510, 0.9516)  0.02
Cl (0.0000, 0.5490, 0.5484)  0.02

Output
Crystal system ... monoclinic
Space group ... P2/m
Energy relative to the lowest polymorph listed for this composition ... 74.8 meV per atom
Raw formation energy ... -461 meV per atom
Uncorrected energy ... -17.6 eV per cell



Record 14
Computed, not measured: crystalline TbZr2UP4 at its relaxed geometry at the PBE-GGA level of DFT.

a b c (Å): 3.8401 6.6708 6.6658
angles (deg): 109.20 90.00 90.00
Last column: magnetic moment on the atom in μB.
Element x y z (fractional)
Tb (0.5000, 0.5000, 0.0000)  0.02
Zr (0.5000, 0.0000, 0.5000)  0.04
Zr (0.0000, 0.5000, 0.5000)  -0.01
U (0.0000, 0.0000, 0.0000)  1.66
P (0.5000, 0.2505, 0.2606)  -0.03
P (0.5000, 0.7495, 0.7394)  -0.03
P (0.0000, 0.2415, 0.7382)  -0.02
P (0.0000, 0.7585, 0.2618)  -0.02

Output
Crystal system ... monoclinic
Space group ... P2/m
Uncorrected energy ... -65.5 eV per cell



Record 15
Computed, not measured: crystalline Zr2TlRh at its relaxed geometry at the PBE-GGA level of DFT.

a b c (Å): 4.5039 3.3801 5.7940
angles (deg): 73.04 90.00 90.00
Element x y z (fractional)
Rh (0.0000, 0.7238, 0.4279)
Tl (0.5000, 0.5473, 0.7803)
Zr (0.0000, 0.9562, 0.9623)
Zr (0.5000, 0.2727, 0.3295)

Output
Crystal system ... orthorhombic
Space group ... Amm2
Uncorrected energy ... -28.0 eV per cell



Record 16
Computed, not measured: crystalline Ac3LaPm4 at its relaxed geometry at the PBE-GGA level of DFT.

a b c (Å): 7.5385 7.5357 10.8312
angles (deg): 90.00 90.00 90.00
Element x y z (fractional)
Ac (0.0008, 0.3108, 0.0000)
Ac (0.2552, 0.0606, 0.7496)
Ac (0.7448, 0.5606, 0.7504)
Ac (0.9992, 0.8108, 0.5000)
Ac (0.7448, 0.5606, 0.2496)
Ac (0.2552, 0.0606, 0.2504)
Pm (0.0005, 0.8106, 0.0000)
Pm (0.4999, 0.3105, 0.0000)
Pm (0.7497, 0.0606, 0.7505)
Pm (0.2503, 0.5606, 0.7495)
Pm (0.5001, 0.8105, 0.5000)
Pm (0.9995, 0.3106, 0.5000)
Pm (0.2503, 0.5606, 0.2505)
Pm (0.7497, 0.0606, 0.2495)
La (0.4995, 0.8105, 0.0000)
La (0.5005, 0.3105, 0.5000)

Output
Crystal system ... orthorhombic
Space group ... Pmn2_1
Uncorrected energy ... -72.0 eV per cell



Record 17
Computed, not measured: crystalline Ca2PmTl2 at its relaxed geometry at the PBE-GGA level of DFT.

a b c (Å): 5.3322 5.3322 6.8416
angles (deg): 90.00 90.00 120.00
Element x y z (fractional)
Ca (0.3333, 0.6667, 0.6606)
Ca (0.6667, 0.3333, 0.3394)
Pm (0.0000, 0.0000, 0.0000)
Tl (0.3333, 0.6667, 0.1742)
Tl (0.6667, 0.3333, 0.8258)

Output
Crystal system ... trigonal
Space group ... P-3m1
Uncorrected energy ... -14.8 eV per cell



Record 18
Computed, not measured: crystalline BaZn2 at its relaxed geometry at the PBE-GGA level of DFT.

a b c (Å): 6.6404 6.6404 7.8143
angles (deg): 55.90 55.90 38.66
Element x y z (fractional)
Ba (0.7003, 0.7003, 0.6671)
Ba (0.5775, 0.5775, 0.2773)
Zn (0.9405, 0.9405, 0.0737)
Zn (0.3151, 0.3151, 0.2266)
Zn (0.9626, 0.9626, 0.7178)
Zn (0.3373, 0.3373, 0.8707)

Output
Crystal system ... monoclinic
Space group ... C2/m
Uncorrected energy ... -10.1 eV per cell



Record 19
Computed, not measured: crystalline Pm3Ga5As12 at its relaxed geometry at the PBE-GGA level of DFT.

a b c (Å): 13.7838 13.7838 13.7838
angles (deg): 109.47 109.47 109.47
Element x y z (fractional)
Pm (0.7500, 0.3750, 0.1250)
Pm (0.8750, 0.7500, 0.1250)
Pm (0.3750, 0.7500, 0.6250)
Pm (0.2500, 0.1250, 0.3750)
Pm (0.8750, 0.1250, 0.2500)
Pm (0.3750, 0.6250, 0.2500)
Pm (0.6250, 0.3750, 0.7500)
Pm (0.1250, 0.8750, 0.7500)
Pm (0.7500, 0.8750, 0.6250)
Pm (0.6250, 0.2500, 0.3750)
Pm (0.1250, 0.2500, 0.8750)
Pm (0.2500, 0.6250, 0.8750)
Ga (0.1250, 0.3750, 0.2500)
Ga (0.0000, 0.5000, 0.0000)
Ga (0.0000, 0.0000, 0.0000)
Ga (0.3750, 0.2500, 0.1250)
Ga (0.5000, 0.0000, 0.5000)
Ga (0.5000, 0.5000, 0.0000)
Ga (0.1250, 0.7500, 0.3750)
Ga (0.7500, 0.1250, 0.8750)
Ga (0.7500, 0.6250, 0.3750)
Ga (0.3750, 0.1250, 0.7500)
Ga (0.6250, 0.8750, 0.2500)
Ga (0.5000, 0.5000, 0.5000)
Ga (0.5000, 0.0000, 0.0000)
Ga (0.0000, 0.0000, 0.5000)
Ga (0.2500, 0.3750, 0.6250)
Ga (0.2500, 0.8750, 0.1250)
Ga (0.0000, 0.5000, 0.5000)
Ga (0.8750, 0.2500, 0.6250)
Ga (0.6250, 0.7500, 0.8750)
Ga (0.8750, 0.6250, 0.7500)
As (0.7177, 0.1208, 0.0404)
As (0.3227, 0.5404, 0.4196)
As (0.9596, 0.3792, 0.2823)
As (0.5404, 0.2177, 0.1208)
As (0.5970, 0.7177, 0.6773)
As (0.9596, 0.5804, 0.1773)
As (0.3227, 0.7823, 0.4030)
As (0.0804, 0.9030, 0.1208)
As (0.5804, 0.9596, 0.6773)
As (0.7177, 0.5970, 0.1773)
As (0.7823, 0.4596, 0.3792)
As (0.8227, 0.9196, 0.0404)
As (0.1208, 0.7177, 0.5404)
As (0.3792, 0.4196, 0.0970)
As (0.0970, 0.9196, 0.3792)
As (0.4030, 0.1208, 0.5804)
As (0.0970, 0.1773, 0.2177)
As (0.4596, 0.6773, 0.0804)
As (0.8227, 0.9030, 0.2823)
As (0.1208, 0.4030, 0.0804)
As (0.3792, 0.9596, 0.7823)
As (0.5804, 0.6208, 0.4030)
As (0.9196, 0.8227, 0.5404)
As (0.7823, 0.3227, 0.9030)
As (0.4196, 0.3792, 0.5970)
As (0.0804, 0.1773, 0.4596)
As (0.2177, 0.6773, 0.0970)
As (0.1773, 0.0970, 0.7177)
As (0.6208, 0.0404, 0.2177)
As (0.8792, 0.5970, 0.9196)
As (0.5404, 0.3227, 0.9196)
As (0.5970, 0.8792, 0.4196)
As (0.9030, 0.8227, 0.7823)
As (0.9030, 0.0804, 0.6208)
As (0.8792, 0.2823, 0.4596)
As (0.1773, 0.0804, 0.9596)
As (0.6208, 0.5804, 0.9030)
As (0.4196, 0.0404, 0.3227)
As (0.2823, 0.4030, 0.8227)
As (0.2177, 0.5404, 0.6208)
As (0.9196, 0.0970, 0.8792)
As (0.6773, 0.2177, 0.5970)
As (0.4596, 0.7823, 0.8792)
As (0.0404, 0.4196, 0.8227)
As (0.4030, 0.2823, 0.3227)
As (0.0404, 0.6208, 0.7177)
As (0.6773, 0.4596, 0.5804)
As (0.2823, 0.8792, 0.9596)

Output
Crystal system ... cubic
Space group ... Ia-3d
Uncorrected energy ... -353.3 eV per cell



Record 20
Computed, not measured: crystalline Sr2VPb at its relaxed geometry at the PBE-GGA level of DFT.

a b c (Å): 9.0071 9.0071 7.2285
angles (deg): 51.46 51.46 90.00
Last column: magnetic moment on the atom in μB.
Element x y z (fractional)
Pb (0.0000, 0.0000, 0.0000)  -0.11
Pb (0.7500, 0.2500, 0.5000)  -0.11
Sr (0.6146, 0.1250, 0.2500)  0.06
Sr (0.1354, 0.6250, 0.2500)  0.06
Sr (0.3750, 0.3854, 0.7500)  0.06
Sr (0.8750, 0.8646, 0.7500)  0.06
V (0.5000, 0.5000, 0.0000)  3.06
V (0.2500, 0.7500, 0.5000)  3.06

Output
Crystal system ... tetragonal
Space group ... I-42d
Uncorrected energy ... -28.1 eV per cell